(1)
Compound: BaLaZnRuO6
Source: the Alexandria database
Functional: PBE
Structure: relaxed

Lattice parameters (Å, degrees): 5.699 5.708 5.759 91.03 119.62 119.49
Site moments in Bohr magnetons follow the coordinates.
Atoms (fractional coordinates):
1 O 0.899 0.248 0.169  0.11
2 O 0.022 0.239 0.723  0.12
3 O 0.029 0.786 0.301  0.12
4 O 0.485 0.677 0.710  0.11
5 O 0.086 0.782 0.788  0.15
6 O 0.521 0.287 0.326  0.14
7 Ru 0.000 0.501 0.501  1.90
8 La 0.470 0.236 0.735  0.03
9 Ba 0.496 0.747 0.249  0.01
10 Zn 0.992 0.998 0.998  0.01

**Magnetization**: 0.30 μB/atom
**E**: -6.76 eV per atom

(2)
Compound: BaLaS2O8
Source: the Alexandria database
Functional: PBE
Structure: relaxed

Lattice parameters (Å, degrees): 5.304 5.304 8.559 90.00 90.00 120.00
Site moments in Bohr magnetons follow the coordinates.
Atoms (fractional coordinates):
1 Ba 0.000 0.000 0.000  0.00
2 O 0.184 0.824 0.722  0.00
3 O 0.824 0.640 0.278  0.00
4 O 0.176 0.360 0.722  0.00
5 O 0.333 0.667 0.953  0.00
6 O 0.816 0.176 0.278  0.00
7 O 0.360 0.184 0.278  0.00
8 O 0.640 0.816 0.722  0.00
9 O 0.667 0.333 0.047  0.00
10 S 0.333 0.667 0.779  0.00
11 S 0.667 0.333 0.221  0.00
12 La 0.000 0.000 0.500  0.30

**Magnetization**: 0.05 μB/atom
**Fermi-level density of states**: 3.72 states/eV per cell
**E**: -6.63 eV per atom

(3)
Compound: Ba2LaSO
Source: the Alexandria database
Functional: PBE
Structure: relaxed

Lattice parameters (Å, degrees): 5.982 5.394 5.982 90.00 90.00 90.00
Site moments in Bohr magnetons follow the coordinates.
Atoms (fractional coordinates):
1 S 0.000 0.000 0.000  -0.01
2 La 0.000 0.500 0.000  0.32
3 Ba 0.000 0.000 0.500  0.10
4 Ba 0.500 0.000 0.000  0.08
5 O 0.500 0.500 0.500  0.01

**Magnetization**: 0.28 μB/atom
**Fermi-level density of states**: 6.43 states/eV per cell
**E**: -4.11 eV per atom

(4)
Compound: Ba2La4Sb3O2
Source: the Alexandria database
Functional: PBE
Structure: relaxed

Lattice parameters (Å, degrees): 4.980 4.980 14.157 100.13 100.13 90.00
Atoms (fractional coordinates):
1 Sb 0.000 0.000 0.000
2 Sb 0.833 0.833 0.665
3 Sb 0.167 0.167 0.335
4 La 0.421 0.921 0.842
5 La 0.579 0.079 0.158
6 La 0.079 0.579 0.158
7 La 0.921 0.421 0.842
8 O 0.408 0.408 0.816
9 O 0.592 0.592 0.184
10 Ba 0.696 0.696 0.393
11 Ba 0.304 0.304 0.607

**Magnetization**: 0.00 μB/atom
**Fermi-level density of states**: 3.62 states/eV per cell
**E**: -5.93 eV per atom

(5)
Compound: BaLa2SbO
Source: the Alexandria database
Functional: PBE
Structure: relaxed

Lattice parameters (Å, degrees): 5.989 6.570 5.989 90.00 90.00 90.00
Site moments in Bohr magnetons follow the coordinates.
Atoms (fractional coordinates):
1 O 0.500 0.500 0.500  -0.20
2 La 0.500 0.000 0.000  0.24
3 La 0.000 0.000 0.500  0.26
4 Sb 0.000 0.000 0.000  -0.01
5 Ba 0.000 0.500 0.000  0.04

**Magnetization**: 0.27 μB/atom
**Fermi-level density of states**: 8.05 states/eV per cell
**E**: -4.03 eV per atom

(6)
Compound: BaLa2Sc2O7
Source: the Alexandria database
Functional: PBE
Structure: relaxed

Lattice parameters (Å, degrees): 5.876 5.876 20.736 90.00 90.00 90.00
Atoms (fractional coordinates):
1 Sc 0.257 0.257 0.600
2 Sc 0.243 0.757 0.900
3 Sc 0.757 0.243 0.100
4 Sc 0.757 0.243 0.900
5 Sc 0.743 0.743 0.400
6 Sc 0.257 0.257 0.400
7 Sc 0.743 0.743 0.600
8 Sc 0.243 0.757 0.100
9 O 0.310 0.690 0.209
10 O 0.000 0.500 0.889
11 O 0.000 0.000 0.874
12 O 0.690 0.310 0.791
13 O 0.500 0.000 0.611
14 O 0.190 0.190 0.291
15 O 0.218 0.782 0.000
16 O 0.000 0.000 0.406
17 O 0.810 0.810 0.709
18 O 0.000 0.500 0.611
19 O 0.000 0.500 0.389
20 O 0.500 0.500 0.906
21 O 0.718 0.718 0.500
22 O 0.500 0.500 0.626
23 O 0.500 0.000 0.389
24 O 0.500 0.000 0.889
25 O 0.782 0.218 0.000
26 O 0.310 0.690 0.791
27 O 0.282 0.282 0.500
28 O 0.190 0.190 0.709
29 O 0.000 0.000 0.594
30 O 0.810 0.810 0.291
31 O 0.690 0.310 0.209
32 O 0.500 0.500 0.374
33 O 0.500 0.500 0.094
34 O 0.000 0.500 0.111
35 O 0.000 0.000 0.126
36 O 0.500 0.000 0.111
37 La 0.772 0.228 0.316
38 La 0.272 0.272 0.816
39 La 0.228 0.772 0.316
40 La 0.228 0.772 0.684
41 La 0.728 0.728 0.816
42 La 0.728 0.728 0.184
43 La 0.772 0.228 0.684
44 La 0.272 0.272 0.184
45 Ba 0.741 0.741 0.000
46 Ba 0.759 0.241 0.500
47 Ba 0.241 0.759 0.500
48 Ba 0.259 0.259 0.000

**Magnetization**: 0.00 μB/atom
**Fermi-level density of states**: 0.00 states/eV per cell
**E**: -8.32 eV per atom

(7)
Compound: BaLaSeO6
Source: the Alexandria database
Functional: PBE
Structure: relaxed

Lattice parameters (Å, degrees): 5.776 5.776 5.471 90.00 90.00 59.99
Site moments in Bohr magnetons follow the coordinates.
Atoms (fractional coordinates):
1 O 0.591 0.336 0.692  0.15
2 O 0.592 0.073 0.308  0.15
3 O 0.335 0.073 0.692  0.15
4 O 0.073 0.592 0.692  0.15
5 O 0.336 0.591 0.308  0.15
6 O 0.073 0.336 0.308  0.15
7 Se 0.333 0.333 0.500  -0.02
8 Ba 0.000 0.000 0.000  0.00
9 La 0.667 0.667 0.500  0.01

**Magnetization**: 0.12 μB/atom
**Fermi-level density of states**: 7.41 states/eV per cell
**E**: -6.22 eV per atom

(8)
Compound: Ba4LaSn3O12
Source: the Alexandria database
Functional: PBE
Structure: relaxed

Lattice parameters (Å, degrees): 7.477 7.477 7.477 109.47 109.47 109.47
Site moments in Bohr magnetons follow the coordinates.
Atoms (fractional coordinates):
1 Ba 0.500 0.000 0.000  0.00
2 Ba 0.500 0.500 0.500  0.00
3 Ba 0.000 0.500 0.000  0.00
4 Ba 0.000 0.000 0.500  0.00
5 Sn 0.000 0.500 0.500  -0.01
6 Sn 0.500 0.000 0.500  -0.01
7 Sn 0.500 0.500 0.000  -0.01
8 O 0.732 0.000 0.732  0.04
9 O 0.250 0.750 0.500  0.09
10 O 0.500 0.250 0.750  0.09
11 O 0.750 0.250 0.500  0.09
12 O 0.268 0.268 0.000  0.04
13 O 0.268 0.000 0.268  0.04
14 O 0.732 0.732 0.000  0.04
15 O 0.250 0.500 0.750  0.09
16 O 0.750 0.500 0.250  0.09
17 O 0.000 0.268 0.268  0.04
18 O 0.500 0.750 0.250  0.09
19 O 0.000 0.732 0.732  0.04
20 La 0.000 0.000 0.000  0.00

**Magnetization**: 0.04 μB/atom
**Fermi-level density of states**: 12.77 states/eV per cell
**E**: -6.50 eV per atom

(9)
Compound: Ba2LaSnO
Source: the Alexandria database
Functional: PBE
Structure: relaxed

Lattice parameters (Å, degrees): 5.489 5.489 5.085 90.00 90.00 90.00
Atoms (fractional coordinates):
1 La 0.000 0.000 0.500
2 Sn 0.500 0.500 0.500
3 O 0.000 0.000 0.000
4 Ba 0.500 0.000 0.000
5 Ba 0.000 0.500 0.000

**Magnetization**: 0.00 μB/atom
**Fermi-level density of states**: 3.00 states/eV per cell
**E**: -4.90 eV per atom

(10)
Compound: Ba3LaSn2O9
Source: the Alexandria database
Functional: PBE
Structure: relaxed

Lattice parameters (Å, degrees): 6.118 6.118 7.623 90.00 90.00 120.00
Site moments in Bohr magnetons follow the coordinates.
Atoms (fractional coordinates):
1 Sn 0.667 0.333 0.840  -0.01
2 Sn 0.333 0.667 0.160  -0.01
3 O 0.000 0.500 0.000  0.06
4 O 0.174 0.348 0.312  0.07
5 O 0.348 0.174 0.688  0.07
6 O 0.174 0.826 0.312  0.07
7 O 0.500 0.000 0.000  0.06
8 O 0.500 0.500 0.000  0.06
9 O 0.652 0.826 0.312  0.07
10 O 0.826 0.652 0.688  0.07
11 O 0.826 0.174 0.688  0.07
12 Ba 0.667 0.333 0.317  0.00
13 Ba 0.333 0.667 0.683  0.00
14 Ba 0.000 0.000 0.000  0.00
15 La 0.000 0.000 0.500  0.00

**Magnetization**: 0.05 μB/atom
**Fermi-level density of states**: 12.23 states/eV per cell
**E**: -6.55 eV per atom

(11)
Compound: BaLa2SnO
Source: the Alexandria database
Functional: PBE
Structure: relaxed

Lattice parameters (Å, degrees): 5.093 5.093 5.419 90.00 90.00 90.00
Atoms (fractional coordinates):
1 O 0.000 0.000 0.000
2 Sn 0.500 0.500 0.500
3 La 0.000 0.500 0.000
4 La 0.500 0.000 0.000
5 Ba 0.000 0.000 0.500

**Magnetization**: 0.00 μB/atom
**Fermi-level density of states**: 4.06 states/eV per cell
**E**: -5.56 eV per atom

(12)
Compound: Ba2LaSnO6
Source: the Alexandria database
Functional: PBE
Structure: relaxed

Lattice parameters (Å, degrees): 6.260 6.200 8.803 90.00 90.67 90.00
Site moments in Bohr magnetons follow the coordinates.
Atoms (fractional coordinates):
1 Sn 0.000 0.500 0.000  -0.01
2 Sn 0.500 0.000 0.500  -0.01
3 O 0.722 0.248 0.539  0.14
4 O 0.278 0.752 0.461  0.14
5 O 0.931 0.508 0.233  0.17
6 O 0.778 0.748 0.961  0.14
7 O 0.222 0.252 0.039  0.14
8 O 0.756 0.274 0.962  0.14
9 O 0.256 0.226 0.462  0.14
10 O 0.431 0.992 0.733  0.17
11 O 0.244 0.726 0.038  0.14
12 O 0.569 0.008 0.267  0.17
13 O 0.069 0.492 0.767  0.17
14 O 0.744 0.774 0.538  0.14
15 Ba 0.508 0.511 0.747  0.00
16 Ba 0.008 0.989 0.247  0.00
17 Ba 0.492 0.489 0.253  0.00
18 Ba 0.992 0.011 0.753  0.00
19 La 0.000 0.500 0.500  0.01
20 La 0.500 0.000 0.000  0.01

**Magnetization**: 0.11 μB/atom
**Fermi-level density of states**: 19.30 states/eV per cell
**E**: -6.68 eV per atom

Calculated values (eV per formula unit) of energy relative to the elements, uncorrected for the records, taken in order: -20.5; -24.8; -2.7; -19.3; 0.7; -40.7; -15.9; -45.9; -6.8; -35.0; -7.1; -24.3.